No. 1
4
Lattice="0.0000 3.4909 3.4909 3.4909 0.0000 3.4909 3.4909 3.4909 0.0000" Properties=species:S:1:pos:R:3 comment="CaWBr2 PBE optimized geometry" energy_ev_per_atom=-4.10 e_form_raw_ev_per_atom=0.472 sg="Fm-3m, No. 225" e_above_lowest_polymorph_ev_per_atom=0.548 pbc="T T T"
Ca 0.0000 0.0000 0.0000
W 3.4909 3.4909 3.4909
Br 1.7454 1.7454 1.7454
Br 5.2363 5.2363 5.2363

***

No. 2
4
Lattice="0.0000 3.2570 3.2570 3.2570 0.0000 3.2570 3.2570 3.2570 0.0000" Properties=species:S:1:pos:R:3 comment="YMn2Mo PBE optimized geometry" energy_ev_per_atom=-8.44 sg="F-43m, No. 216" formation_enthalpy_0k_ev_per_atom=0.468 e_above_lowest_polymorph_ev_per_atom=0.264 pbc="T T T"
Y 0.0000 0.0000 0.0000
Mn 3.2570 3.2570 3.2570
Mn 4.8855 4.8855 4.8855
Mo 1.6285 1.6285 1.6285

***

No. 3
4
Lattice="0.0000 3.4612 3.4612 3.4612 0.0000 3.4612 3.4612 3.4612 0.0000" Properties=species:S:1:pos:R:3 comment="TlRhCl2 PBE optimized geometry" energy_ev_per_atom=-3.05 e_form_raw_ev_per_atom=0.304 sg="F-43m, No. 216" e_above_lowest_polymorph_ev_per_atom=0.745 pbc="T T T"
Tl 0.0000 0.0000 0.0000
Rh 5.1917 5.1917 5.1917
Cl 1.7306 1.7306 1.7306
Cl 3.4612 3.4612 3.4612

***

No. 4
19
Lattice="6.4649 0.0000 0.0000 -1.2015 8.7430 0.0000 -0.5836 -3.9531 10.6520" Properties=species:S:1:pos:R:3 comment="Tb5Dy12Er2 PBE optimized geometry" energy_ev_per_atom=-4.52 sg="P-1, No. 2" formation_enthalpy_0k_ev_per_atom=0.088 e_above_lowest_polymorph_ev_per_atom=0.000 pbc="T T T"
Tb 0.0000 0.0000 0.0000
Tb -0.3407 5.8813 7.4347
Tb 2.2473 4.2098 3.0023
Tb 2.4324 0.5801 7.6496
Tb 5.0205 -1.0914 3.2173
Dy -0.9023 5.0079 3.9436
Dy -0.1956 2.0861 2.4670
Dy 0.4044 -0.2788 10.2162
Dy 0.8296 6.6862 1.4954
Dy 1.7729 -0.5533 4.5103
Dy 1.5998 3.5983 9.1950
Dy 3.0799 1.1917 1.4569
Dy 2.9068 5.3432 6.1417
Dy 3.8501 -1.8962 9.1566
Dy 4.2754 5.0687 0.4358
Dy 4.8754 2.7039 8.1850
Dy 5.5821 -0.2180 6.7084
Er 0.7225 2.7169 5.7457
Er 3.9573 2.0731 4.9063